SrAl3In after structural relaxation. Source: Alexandria, functional PBE.

Structure (POSCAR):
```
SrAl3In
1.0
5.9338 0.0000 0.0000
0.0000 5.9338 0.0000
0.0000 0.0000 5.9338
Sr Al In
1 3 1
direct
0.0000 0.0000 0.0000
0.5000 0.0000 0.0000
0.0000 0.0000 0.5000
0.0000 0.5000 0.0000
0.5000 0.5000 0.5000
```

The value obtained for the volume is 209 Å³/f.u. The energy relative to the elements comes out at 1223 meV per atom. For the final energy, the calculation gives -9.53 eV per formula unit. The calculation puts the total moment at 0.00 μB per cell.